ZrSi4Br: optimized geometry, PBE.

Cell: 5.2293 5.2293 5.2293 Å, 60.00 60.00 60.00°
Positions (direct):
Zr1 0.0000 0.0000 0.0000
Si1 0.3787 0.3787 0.3787
Si2 0.3787 0.3787 0.8638
Si3 0.3787 0.8638 0.3787
Si4 0.8638 0.3787 0.3787
Br1 0.7500 0.7500 0.7500

Summary:
* density of states at the Fermi level: 1.41 states/eV per cell
* symmetry: F-43m
* final energy: -5.210 eV per atom
* uncorrected formation energy: 109 meV/atom